VCr2IrN | PBE | relaxed

Results
Uncorrected formation energy = -0.46 eV/atom
Energy = -9.5690 eV per atom
Volume = 11.45 Å³/atom

abc: 3.8209 3.8209 3.9210
angles: 90.00 90.00 90.00
Space group P4/mmm (No. 123)
Inequivalent atoms, fractional coordinates:
1 V 0.0000 0.0000 0.0000 [1 per cell]
2 Cr 0.0000 0.5000 0.5000 [2 per cell]
3 Ir 0.5000 0.5000 0.0000 [1 per cell]
4 N 0.0000 0.0000 0.5000 [1 per cell]